Entry 1:
RbBaHfAu (PBE, relaxed); VASP energy = -3.18 eV per atom; SG = F-43m (216)
1.0
0.000 4.084 4.084
4.084 0.000 4.084
4.084 4.084 0.000
Rb Ba Hf Au
1 1 1 1
Cartesian
0.000 0.000 0.000
4.084 4.084 4.084
2.042 2.042 2.042
6.126 6.126 6.126

***

Entry 2:
LaNiB4 (PBE, relaxed); VASP energy = -6.09 eV per atom; SG = Immm (71)
1.0
-1.558 2.662 4.157
1.558 -2.662 4.157
1.558 2.662 -4.157
La Ni B
1 1 4
Cartesian
0.000 0.000 0.000
0.000 0.000 4.157
1.558 -0.897 2.082
1.558 0.897 2.082
0.000 1.765 2.075
0.000 3.558 2.075

***

Entry 3:
Sm2PtC2 (PBE, relaxed); VASP energy = -6.97 eV per atom; SG = Pnma (62)
1.0
6.667 0.000 0.000
0.000 5.201 0.000
0.000 0.000 10.006
Sm Pt C
8 4 8
Cartesian
0.186 1.300 2.151
1.180 1.300 5.589
2.154 3.901 0.586
3.148 3.901 7.154
3.519 1.300 2.852
4.514 1.300 9.419
5.487 3.901 4.417
6.482 3.901 7.855
1.500 1.300 8.719
1.833 3.901 3.716
4.834 1.300 6.290
5.167 3.901 1.287
0.275 3.901 2.385
1.106 3.901 5.648
2.227 1.300 0.645
3.059 1.300 7.388
3.608 3.901 2.617
4.440 3.901 9.360
5.561 1.300 4.358
6.393 1.300 7.620

***

Entry 4:
ZnBi2W (PBE, relaxed); VASP energy = -4.50 eV per atom; SG = F-43m (216)
1.0
0.000 3.582 3.582
3.582 0.000 3.582
3.582 3.582 0.000
Zn Bi W
1 2 1
Cartesian
0.000 0.000 0.000
1.791 1.791 1.791
3.582 3.582 3.582
5.373 5.373 5.373

***

Entry 5:
CdBiSbO (PBE, relaxed); VASP energy = -3.80 eV per atom; SG = P4/nmm (129)
1.0
4.156 0.000 0.000
0.000 4.156 0.000
0.000 0.000 10.954
Cd Bi Sb O
2 2 2 2
Cartesian
1.039 1.039 1.918
3.117 3.117 9.036
1.039 1.039 6.610
3.117 3.117 4.344
1.039 1.039 9.797
3.117 3.117 1.157
1.039 3.117 5.477
3.117 1.039 5.477

***

Entry 6:
Ho3HfIn2C2 (PBE, relaxed); VASP energy = -6.41 eV per atom; SG = P3m1 (156)
1.0
3.501 0.000 0.000
-1.751 3.032 0.000
0.000 0.000 15.926
Ho Hf In C
3 1 2 2
Cartesian
0.000 0.000 0.000
0.000 0.000 5.400
0.000 2.022 13.210
0.000 2.022 7.964
0.000 0.000 10.497
0.000 2.022 2.741
1.751 1.011 6.900
1.751 1.011 14.581